## ErBeAl3 (PBE)

Data for a geometry-optimized ErBeAl3 structure.

Output
The calculation puts the formation energy at -0.23 eV/atom. For the total energy, the calculation gives -4.133 eV/atom. For the density of states at the Fermi level, the calculation gives 1.45 states/eV/f.u. The calculation puts the calculated density at 4.7 g/cm3. As for the space group: No. 65.

Unit cell a=3.910 b=4.072 c=11.633 alpha=100.08 beta=90.00 gamma=90.00
Positions (direct):
Be: 0.000 0.382 0.765
Al: 0.000 0.718 0.437
Er: 0.500 0.835 0.670
Er: 0.500 0.165 0.330
Al: 0.500 0.442 0.884
Al: 0.000 0.942 0.884
Al: 0.500 0.558 0.116
Al: 0.000 0.282 0.563
Be: 0.000 0.618 0.235
Al: 0.000 0.058 0.116